Entry 1:
# Re2Mo

A geometry-optimized Re2Mo structure (GGA-PBE, the Alexandria database).

a b c (Å): 2.7500 4.2148 7.9617
angles (deg): 90.00 90.00 90.00
Closest atoms and distances in Å follow each position.
Fractional positions:
1 Re 0.8610 0.0000 0.6637  3 Mo 2.67-2.70, 7 Re 2.72-2.87
2 Re 0.6390 0.5000 0.1637  3 Mo 2.67-2.70, 7 Re 2.72-2.87
3 Re 0.3610 0.5000 0.8363  3 Mo 2.67-2.70, 7 Re 2.72-2.87
4 Re 0.1390 0.0000 0.3363  3 Mo 2.67-2.70, 7 Re 2.72-2.87
5 Mo 0.0000 0.0000 0.0000  6 Re 2.67-2.70, 2 Mo 2.75
6 Mo 0.5000 0.5000 0.5000  6 Re 2.67-2.70, 2 Mo 2.75

Properties
SG: No. 58
Density of states at the Fermi level (states/eV/f.u.): 2.91
Final energy (eV/cell): -70.3
Distance to the lowest polymorph of the same formula (eV per atom): 0.069

***

Entry 2:
# RbCrP

A geometry-optimized RbCrP structure (GGA-PBE, the Alexandria database).

a b c (Å): 3.4784 3.8330 12.2244
angles (deg): 91.89 97.66 90.00
Closest atoms and distances in Å follow each position.
Fractional positions:
1 Rb 0.1134 0.2191 0.2086  4 P 3.30, 2 Rb 3.48
2 Rb 0.8866 0.7809 0.7914  4 P 3.30, 2 Rb 3.48
3 Cr 0.7469 0.2493 0.4936  4 P 2.33-2.37, 4 Cr 2.59
4 Cr 0.2531 0.7507 0.5064  4 P 2.33-2.37, 4 Cr 2.59
5 P 0.3071 0.2630 0.6222  4 Cr 2.33-2.37
6 P 0.6929 0.7370 0.3778  4 Cr 2.33-2.37

Properties
SG: No. 2
Density of states at the Fermi level (states/eV/f.u.): 1.53
Final energy (eV/cell): -33.6
Distance to the lowest polymorph of the same formula (eV per atom): 0.000

***

Entry 3:
# B5C7

A geometry-optimized B5C7 structure (GGA-PBE, the Alexandria database).

a b c (Å): 2.6110 4.7865 6.5222
angles (deg): 88.87 90.00 90.00
Closest atoms and distances in Å follow each position.
Fractional positions:
1 B 0.5000 0.5252 0.2640  1 C 1.59, 3 B 1.71
2 B 0.5000 0.5687 0.0037  2 C 1.55, 1 B 1.71
3 B 0.5000 0.0958 0.9049  3 C 1.56-1.59
4 B 0.0000 0.3446 0.6245  3 C 1.60-1.65
5 B 0.0000 0.2981 0.2922  1 C 1.54, 2 B 1.71
6 C 0.5000 0.8395 0.3404  3 C 1.56-1.58, 1 B 1.59
7 C 0.0000 0.6848 0.6622  3 C 1.53-1.59, 1 B 1.65
8 C 0.0000 0.9817 0.2515  3 C 1.54-1.58, 1 B 1.54
9 C 0.0000 0.9946 0.0152  1 C 1.54, 2 B 1.56
10 C 0.0000 0.6676 0.8965  1 C 1.53, 2 B 1.55
11 C 0.5000 0.1583 0.6651  3 B 1.59-1.60, 1 C 1.63
12 C 0.5000 0.8412 0.5798  4 C 1.56-1.63

Properties
SG: No. 6
Density of states at the Fermi level (states/eV/f.u.): 0.47
Final energy (eV/cell): -92.8
Distance to the lowest polymorph of the same formula (eV per atom): 0.169

***

Entry 4:
# TaIn2Pt2

A geometry-optimized TaIn2Pt2 structure (GGA-PBE, the Alexandria database).

a b c (Å): 6.9327 6.9327 4.0438
angles (deg): 90.00 90.00 90.00
Closest atoms and distances in Å follow each position.
Fractional positions:
1 In 0.1692 0.6692 0.5000  6 Pt 2.77-2.95
2 In 0.6692 0.8308 0.5000  6 Pt 2.77-2.95
3 In 0.8308 0.3308 0.5000  6 Pt 2.77-2.95
4 In 0.3308 0.1692 0.5000  6 Pt 2.77-2.95
5 Pt 0.3616 0.8616 0.0000  2 Ta 2.68, 1 Pt 2.71, 6 In 2.77-2.95
6 Pt 0.8616 0.6384 0.0000  2 Ta 2.68, 1 Pt 2.71, 6 In 2.77-2.95
7 Pt 0.6384 0.1384 0.0000  2 Ta 2.68, 1 Pt 2.71, 6 In 2.77-2.95
8 Pt 0.1384 0.3616 0.0000  2 Ta 2.68, 1 Pt 2.71, 6 In 2.77-2.95
9 Ta 0.0000 0.0000 0.0000  4 Pt 2.68
10 Ta 0.5000 0.5000 0.0000  4 Pt 2.68

Properties
SG: No. 127
Density of states at the Fermi level (states/eV/f.u.): 4.47
Final energy (eV/cell): -60.5

***

Which value of final energy does entry 1 give?
-70.3 eV/cell

***

density of states at the Fermi level of number 1 (Re2Mo)?
2.91 states/eV/f.u.